Entry 1:
The following is a PBE-GGA calculation of a relaxed TlSbOs2 crystal, from Alexandria via LeMat-Bulk.

Properties
**V**: 20.98 Å³ per atom
**Uncorrected energy**: -6.55 eV/atom
**Density of states at the Fermi level**: 2.75 states/eV/f.u.
**Energy above the lowest structure with this stoichiometry**: 0.222 eV/atom

The structure in CIF format:
```
data_TlSbOs2
_chemical_formula_sum 'Tl1 Sb1 Os2'
_symmetry_space_group_name_H-M 'P 1'
_symmetry_Int_Tables_number 1
_symmetry_space_group_name_Hall 'P 1'
_cell_length_a 10.990
_cell_length_b 10.990
_cell_length_c 10.990
_cell_angle_alpha 15.63
_cell_angle_beta 15.63
_cell_angle_gamma 15.63
loop_
_atom_site_label
_atom_site_fract_x
_atom_site_fract_y
_atom_site_fract_z
_atom_site_occupancy
Os1 0.986 0.986 0.986 1
Os2 0.258 0.258 0.258 1
Sb1 0.523 0.523 0.523 1
Tl1 0.733 0.733 0.733 1
```

***

Entry 2:
The following is a PBE-GGA calculation of a relaxed CaGd2Fe crystal, from Alexandria via LeMat-Bulk.

Properties
**V**: 28.32 Å³ per atom
**Uncorrected energy**: -9.59 eV/atom
**Density of states at the Fermi level**: 5.36 states/eV/f.u.
**ΔE_f**: 0.07 eV per atom
**Energy above the lowest structure with this stoichiometry**: 0.000 eV/atom

The structure in CIF format:
```
data_CaGd2Fe
_chemical_formula_sum 'Ca1 Gd2 Fe1'
_symmetry_space_group_name_H-M 'P 1'
_symmetry_Int_Tables_number 1
_symmetry_space_group_name_Hall 'P 1'
_cell_length_a 3.471
_cell_length_b 3.471
_cell_length_c 9.402
_cell_angle_alpha 90.00
_cell_angle_beta 90.00
_cell_angle_gamma 90.00
loop_
_atom_site_label
_atom_site_fract_x
_atom_site_fract_y
_atom_site_fract_z
_atom_site_occupancy
Ca1 0.500 0.500 0.500 1
Gd1 0.000 0.000 0.828 1
Gd2 0.000 0.000 0.172 1
Fe1 0.500 0.500 0.000 1
```

***

Entry 3:
The following is a PBE-GGA calculation of a relaxed AlRh crystal, from Alexandria via LeMat-Bulk.

Properties
**V**: 25.23 Å³ per atom
**Uncorrected energy**: -5.34 eV/atom
**Density of states at the Fermi level**: 1.08 states/eV/f.u.
**ΔE_f**: 0.20 eV per atom

The structure in CIF format:
```
data_AlRh
_chemical_formula_sum 'Al6 Rh6'
_symmetry_space_group_name_H-M 'P 1'
_symmetry_Int_Tables_number 1
_symmetry_space_group_name_Hall 'P 1'
_cell_length_a 6.715
_cell_length_b 6.715
_cell_length_c 6.715
_cell_angle_alpha 90.00
_cell_angle_beta 90.00
_cell_angle_gamma 90.00
loop_
_atom_site_label
_atom_site_fract_x
_atom_site_fract_y
_atom_site_fract_z
_atom_site_occupancy
Al1 0.250 0.000 0.500 1
Al2 0.750 0.000 0.500 1
Al3 0.000 0.500 0.250 1
Al4 0.000 0.500 0.750 1
Al5 0.500 0.250 0.000 1
Al6 0.500 0.750 0.000 1
Rh1 0.250 0.500 0.000 1
Rh2 0.750 0.500 0.000 1
Rh3 0.500 0.000 0.250 1
Rh4 0.500 0.000 0.750 1
Rh5 0.000 0.250 0.500 1
Rh6 0.000 0.750 0.500 1
```

***

Entry 4:
The following is a PBE-GGA calculation of a relaxed Y2AsP crystal, from Alexandria via LeMat-Bulk.

Properties
**V**: 22.88 Å³ per atom
**Uncorrected energy**: -6.88 eV/atom
**Density of states at the Fermi level**: 0.98 states/eV/f.u.
**ΔE_f**: -1.14 eV per atom

The structure in CIF format:
```
data_Y2AsP
_chemical_formula_sum 'Y2 As1 P1'
_symmetry_space_group_name_H-M 'P 1'
_symmetry_Int_Tables_number 1
_symmetry_space_group_name_Hall 'P 1'
_cell_length_a 5.156
_cell_length_b 5.156
_cell_length_c 3.577
_cell_angle_alpha 79.16
_cell_angle_beta 79.16
_cell_angle_gamma 91.89
loop_
_atom_site_label
_atom_site_fract_x
_atom_site_fract_y
_atom_site_fract_z
_atom_site_occupancy
As1 0.500 0.000 0.500 1
P1 0.000 0.500 0.500 1
Y1 0.000 0.000 0.000 1
Y2 0.500 0.500 0.000 1
```

***

Entry 5:
The following is a PBE-GGA calculation of a relaxed Sr3Tc crystal, from Alexandria via LeMat-Bulk.

Properties
**V**: 36.01 Å³ per atom
**Uncorrected energy**: -3.14 eV/atom
**Density of states at the Fermi level**: 5.28 states/eV/f.u.
**ΔE_f**: 0.71 eV per atom

The structure in CIF format:
```
data_Sr3Tc
_chemical_formula_sum 'Sr6 Tc2'
_symmetry_space_group_name_H-M 'P 1'
_symmetry_Int_Tables_number 1
_symmetry_space_group_name_Hall 'P 1'
_cell_length_a 5.166
_cell_length_b 7.208
_cell_length_c 7.737
_cell_angle_alpha 90.00
_cell_angle_beta 90.00
_cell_angle_gamma 90.00
loop_
_atom_site_label
_atom_site_fract_x
_atom_site_fract_y
_atom_site_fract_z
_atom_site_occupancy
Sr1 0.500 0.000 0.437 1
Sr2 0.000 0.500 0.563 1
Sr3 0.000 0.743 0.147 1
Sr4 0.000 0.257 0.147 1
Sr5 0.500 0.243 0.853 1
Sr6 0.500 0.757 0.853 1
Tc1 0.000 0.000 0.746 1
Tc2 0.500 0.500 0.254 1
```

***

Entry 6:
The following is a PBE-GGA calculation of a relaxed NdCuPt crystal, from Alexandria via LeMat-Bulk.

Properties
**V**: 21.01 Å³ per atom
**Uncorrected energy**: -5.71 eV/atom
**Density of states at the Fermi level**: 1.16 states/eV/f.u.
**ΔE_f**: -0.74 eV per atom
**Energy above the lowest structure with this stoichiometry**: 0.010 eV/atom

The structure in CIF format:
```
data_NdCuPt
_chemical_formula_sum 'Nd2 Cu2 Pt2'
_symmetry_space_group_name_H-M 'P 1'
_symmetry_Int_Tables_number 1
_symmetry_space_group_name_Hall 'P 1'
_cell_length_a 4.374
_cell_length_b 4.374
_cell_length_c 7.608
_cell_angle_alpha 90.00
_cell_angle_beta 90.00
_cell_angle_gamma 120.01
loop_
_atom_site_label
_atom_site_fract_x
_atom_site_fract_y
_atom_site_fract_z
_atom_site_occupancy
Nd1 0.000 0.500 0.500 1
Nd2 0.000 0.500 0.000 1
Cu1 0.333 0.167 0.750 1
Cu2 0.667 0.833 0.250 1
Pt1 0.667 0.833 0.750 1
Pt2 0.333 0.167 0.250 1
```

***

Entry 7:
The following is a PBE-GGA calculation of a relaxed BeIn2Br crystal, from Alexandria via LeMat-Bulk.

Properties
**V**: 25.38 Å³ per atom
**Uncorrected energy**: -2.31 eV/atom
**Density of states at the Fermi level**: 1.68 states/eV/f.u.
**Energy above the lowest structure with this stoichiometry**: 0.408 eV/atom

The structure in CIF format:
```
data_BeIn2Br
_chemical_formula_sum 'Be1 In2 Br1'
_symmetry_space_group_name_H-M 'P 1'
_symmetry_Int_Tables_number 1
_symmetry_space_group_name_Hall 'P 1'
_cell_length_a 5.654
_cell_length_b 5.654
_cell_length_c 5.654
_cell_angle_alpha 130.72
_cell_angle_beta 130.72
_cell_angle_gamma 72.26
loop_
_atom_site_label
_atom_site_fract_x
_atom_site_fract_y
_atom_site_fract_z
_atom_site_occupancy
Be1 0.250 0.750 0.500 1
Br1 0.750 0.250 0.500 1
In1 0.000 0.000 0.000 1
In2 0.500 0.500 0.000 1
```

***

Entry 8:
The following is a PBE-GGA calculation of a relaxed RhC2 crystal, from Alexandria via LeMat-Bulk.

Properties
**V**: 9.19 Å³ per atom
**Uncorrected energy**: -8.08 eV/atom
**Density of states at the Fermi level**: 1.92 states/eV/f.u.
**ΔE_f**: 0.52 eV per atom
**Energy above the lowest structure with this stoichiometry**: 0.059 eV/atom

The structure in CIF format:
```
data_RhC2
_chemical_formula_sum 'Rh1 C2'
_symmetry_space_group_name_H-M 'P 1'
_symmetry_Int_Tables_number 1
_symmetry_space_group_name_Hall 'P 1'
_cell_length_a 2.569
_cell_length_b 2.570
_cell_length_c 5.022
_cell_angle_alpha 103.99
_cell_angle_beta 90.00
_cell_angle_gamma 119.99
loop_
_atom_site_label
_atom_site_fract_x
_atom_site_fract_y
_atom_site_fract_z
_atom_site_occupancy
C1 0.159 0.319 0.977 1
C2 0.841 0.681 0.023 1
Rh1 0.000 0.000 0.500 1
```

***

Entry 9:
The following is a PBE-GGA calculation of a relaxed LaSmInHg crystal, from Alexandria via LeMat-Bulk.

Properties
**V**: 29.37 Å³ per atom
**Uncorrected energy**: -3.65 eV/atom
**Density of states at the Fermi level**: 4.81 states/eV/f.u.
**ΔE_f**: -0.48 eV per atom

The structure in CIF format:
```
data_LaSmInHg
_chemical_formula_sum 'La1 Sm1 In1 Hg1'
_symmetry_space_group_name_H-M 'P 1'
_symmetry_Int_Tables_number 1
_symmetry_space_group_name_Hall 'P 1'
_cell_length_a 5.497
_cell_length_b 5.497
_cell_length_c 5.497
_cell_angle_alpha 60.00
_cell_angle_beta 60.00
_cell_angle_gamma 60.00
loop_
_atom_site_label
_atom_site_fract_x
_atom_site_fract_y
_atom_site_fract_z
_atom_site_occupancy
In1 0.000 0.000 0.000 1
Hg1 0.500 0.500 0.500 1
Sm1 0.750 0.750 0.750 1
La1 0.250 0.250 0.250 1
```

***

Entry 10:
The following is a PBE-GGA calculation of a relaxed CoTc crystal, from Alexandria via LeMat-Bulk.

Properties
**V**: 13.02 Å³ per atom
**Uncorrected energy**: -8.47 eV/atom
**Density of states at the Fermi level**: 4.17 states/eV/f.u.
**ΔE_f**: 0.27 eV per atom
**Energy above the lowest structure with this stoichiometry**: 0.317 eV/atom

The structure in CIF format:
```
data_CoTc
_chemical_formula_sum 'Co2 Tc2'
_symmetry_space_group_name_H-M 'P 1'
_symmetry_Int_Tables_number 1
_symmetry_space_group_name_Hall 'P 1'
_cell_length_a 4.191
_cell_length_b 4.191
_cell_length_c 4.191
_cell_angle_alpha 60.00
_cell_angle_beta 60.00
_cell_angle_gamma 60.00
loop_
_atom_site_label
_atom_site_fract_x
_atom_site_fract_y
_atom_site_fract_z
_atom_site_occupancy
Co1 0.375 0.375 0.375 1
Co2 0.625 0.625 0.625 1
Tc1 0.125 0.125 0.125 1
Tc2 0.875 0.875 0.875 1
```

***

Entry 11:
The following is a PBE-GGA calculation of a relaxed BaGa2Sb2 crystal, from Alexandria via LeMat-Bulk.

Properties
**V**: 27.79 Å³ per atom
**Uncorrected energy**: -3.56 eV/atom
**Density of states at the Fermi level**: 2.81 states/eV/f.u.

The structure in CIF format:
```
data_BaGa2Sb2
_chemical_formula_sum 'Ba2 Ga4 Sb4'
_symmetry_space_group_name_H-M 'P 1'
_symmetry_Int_Tables_number 1
_symmetry_space_group_name_Hall 'P 1'
_cell_length_a 8.361
_cell_length_b 8.361
_cell_length_c 3.976
_cell_angle_alpha 90.00
_cell_angle_beta 90.00
_cell_angle_gamma 90.00
loop_
_atom_site_label
_atom_site_fract_x
_atom_site_fract_y
_atom_site_fract_z
_atom_site_occupancy
Sb1 0.158 0.658 0.500 1
Sb2 0.658 0.842 0.500 1
Sb3 0.842 0.342 0.500 1
Sb4 0.342 0.158 0.500 1
Ba1 0.000 0.000 0.000 1
Ba2 0.500 0.500 0.000 1
Ga1 0.382 0.882 0.000 1
Ga2 0.882 0.618 0.000 1
Ga3 0.618 0.118 0.000 1
Ga4 0.118 0.382 0.000 1
```

***

Entry 12:
The following is a PBE-GGA calculation of a relaxed KBa2PmO4 crystal, from Alexandria via LeMat-Bulk.

Properties
**V**: 19.59 Å³ per atom
**Uncorrected energy**: -6.12 eV/atom
**Density of states at the Fermi level**: 0.00 states/eV/f.u.

The structure in CIF format:
```
data_KBa2PmO4
_chemical_formula_sum 'K1 Ba2 Pm1 O4'
_symmetry_space_group_name_H-M 'P 1'
_symmetry_Int_Tables_number 1
_symmetry_space_group_name_Hall 'P 1'
_cell_length_a 3.806
_cell_length_b 6.569
_cell_length_c 6.645
_cell_angle_alpha 70.60
_cell_angle_beta 90.00
_cell_angle_gamma 90.00
loop_
_atom_site_label
_atom_site_fract_x
_atom_site_fract_y
_atom_site_fract_z
_atom_site_occupancy
K1 0.500 0.500 0.000 1
Ba1 0.000 0.000 0.000 1
Ba2 0.500 0.000 0.500 1
Pm1 0.000 0.500 0.500 1
O1 0.000 0.731 0.710 1
O2 0.000 0.269 0.290 1
O3 0.500 0.726 0.278 1
O4 0.500 0.274 0.722 1
```

***

Q: Which value of V does entry 12 give?
A: 19.59 Å³ per atom